[1]
The following is a PBE calculation of crystalline Cd3In5Pb2 at its relaxed geometry, from the Alexandria database.

a = 6.559 Å, b = 9.345 Å, c = 9.344 Å
α = 107.82°, β = 93.19°, γ = 93.19°
Atoms (fractional coordinates):
Cd (0.630, 0.475, 0.767)
Cd (0.130, 0.767, 0.475)
Cd (0.370, 0.525, 0.233)
Cd (0.870, 0.233, 0.525)
Cd (0.250, 0.038, 0.962)
Cd (0.750, 0.962, 0.038)
In (0.613, 0.276, 0.975)
In (0.113, 0.975, 0.276)
In (0.387, 0.724, 0.025)
In (0.887, 0.025, 0.724)
In (0.000, 0.713, 0.797)
In (0.000, 0.287, 0.203)
In (0.750, 0.542, 0.458)
In (0.250, 0.458, 0.542)
In (0.500, 0.203, 0.287)
In (0.500, 0.797, 0.713)
Pb (0.873, 0.624, 0.125)
Pb (0.373, 0.125, 0.624)
Pb (0.127, 0.376, 0.875)
Pb (0.627, 0.875, 0.376)

[2]
The following is a PBE calculation of crystalline LiCa2Ir2 at its relaxed geometry, from the Alexandria database.

a = 5.059 Å, b = 4.565 Å, c = 5.664 Å
α = 66.24°, β = 63.48°, γ = 90.00°
Atoms (fractional coordinates):
Li (0.000, 0.000, 0.000)
Ca (0.693, 0.193, 0.614)
Ca (0.307, 0.807, 0.386)
Ir (0.252, 0.500, 0.000)
Ir (0.748, 0.500, 0.000)

These records have magnetization values of 0.00, 0.00 μB per formula unit, in the order they appear.
These records have calculated formation energy values of 0.042, -0.376 eV/atom, in the order they appear.